U2PaW: relaxed, PBE.

```
data_U2PaW
_cell_length_a 6.9504
_cell_length_b 6.9504
_cell_length_c 6.9504
_cell_angle_alpha 90.00
_cell_angle_beta 90.00
_cell_angle_gamma 90.00
_space_group_name_H-M_alt 'F m -3 m'
_space_group_IT_number 225
_space_group_name_Hall '-F 4 2 3'
loop_
_atom_site_label
_atom_site_fract_x
_atom_site_fract_y
_atom_site_fract_z
_atom_site_occupancy
U1 0.2500 0.2500 0.2500 1
Pa1 0.0000 0.0000 0.0000 1
W1 0.0000 0.0000 0.5000 1
```

Values from the calculation:
formation energy from the elements	1.7	eV/f.u.
excess energy over the best structure of this formula in the dataset	0.0594	eV/atom
magnetization	4.90	μB per formula unit
total energy	-10.843	eV per atom

Na2HfPd: relaxed, PBE.

```
data_Na2HfPd
_cell_length_a 8.5563
_cell_length_b 8.5563
_cell_length_c 5.2881
_cell_angle_alpha 90.00
_cell_angle_beta 90.00
_cell_angle_gamma 90.00
_space_group_name_H-M_alt 'I -4 2 d'
_space_group_IT_number 122
_space_group_name_Hall 'I -4 2bw'
loop_
_atom_site_label
_atom_site_fract_x
_atom_site_fract_y
_atom_site_fract_z
_atom_site_occupancy
Na1 0.1977 0.2500 0.1250 1
Hf1 0.0000 0.0000 0.5000 1
Pd1 0.0000 0.0000 0.0000 1
```

Values from the calculation:
formation energy from the elements	2.4	eV/f.u.
excess energy over the best structure of this formula in the dataset	0.0000	eV/atom
magnetization	0.47	μB per formula unit
total energy	-3.855	eV per atom

TbCe2Y3Er6: relaxed, PBE.

```
data_TbCe2Y3Er6
_cell_length_a 6.1147
_cell_length_b 10.5871
_cell_length_c 11.6846
_cell_angle_alpha 90.00
_cell_angle_beta 100.04
_cell_angle_gamma 90.00
_space_group_name_H-M_alt 'C 1 2/m 1'
_space_group_IT_number 12
_space_group_name_Hall '-C 2y'
loop_
_atom_site_label
_atom_site_fract_x
_atom_site_fract_y
_atom_site_fract_z
_atom_site_occupancy
Tb1 0.0000 0.0000 0.0000 1
Ce1 0.0000 0.3333 0.0000 1
Y1 0.0000 0.1661 0.5000 1
Y2 0.0000 0.5000 0.5000 1
Er1 0.2477 0.5000 0.2482 1
Er2 0.2489 0.3322 0.7518 1
```

Values from the calculation:
formation energy from the elements	0.6	eV/f.u.
magnetization	1.75	μB per formula unit
total energy	-5.223	eV per atom

CdIn2Ag: relaxed, PBE.

```
data_CdIn2Ag
_cell_length_a 6.2898
_cell_length_b 8.9605
_cell_length_c 3.2579
_cell_angle_alpha 90.00
_cell_angle_beta 90.00
_cell_angle_gamma 90.00
_space_group_name_H-M_alt 'C m m m'
_space_group_IT_number 65
_space_group_name_Hall '-C 2 2'
loop_
_atom_site_label
_atom_site_fract_x
_atom_site_fract_y
_atom_site_fract_z
_atom_site_occupancy
Cd1 0.0000 0.0000 0.0000 1
In1 0.2500 0.2500 0.5000 1
Ag1 0.0000 0.5000 0.0000 1
```

Values from the calculation:
formation energy from the elements	0.2	eV/f.u.
magnetization	0.00	μB per formula unit
total energy	-2.255	eV per atom

Nd5TlTe6: relaxed, PBE.

```
data_Nd5TlTe6
_cell_length_a 7.8492
_cell_length_b 13.5733
_cell_length_c 7.9371
_cell_angle_alpha 90.00
_cell_angle_beta 109.32
_cell_angle_gamma 90.00
_space_group_name_H-M_alt 'C 1 2/m 1'
_space_group_IT_number 12
_space_group_name_Hall '-C 2y'
loop_
_atom_site_label
_atom_site_fract_x
_atom_site_fract_y
_atom_site_fract_z
_atom_site_occupancy
Nd1 0.0000 0.0000 0.0000 1
Nd2 0.0000 0.1665 0.5000 1
Nd3 0.0000 0.3409 0.0000 1
Tl1 0.0000 0.5000 0.5000 1
Te1 0.2437 0.0000 0.7469 1
Te2 0.2448 0.1699 0.2437 1
```

Values from the calculation:
energy relative to the elements, uncorrected	-1284	meV/atom
magnetization	0.00	μB per formula unit
total energy	-5.039	eV per atom

CaMn2InI8: relaxed, PBE.

```
data_CaMn2InI8
_cell_length_a 7.5072
_cell_length_b 7.5072
_cell_length_c 10.5125
_cell_angle_alpha 90.00
_cell_angle_beta 90.00
_cell_angle_gamma 120.00
_space_group_name_H-M_alt 'P -3'
_space_group_IT_number 147
_space_group_name_Hall '-P 3'
loop_
_atom_site_label
_atom_site_fract_x
_atom_site_fract_y
_atom_site_fract_z
_atom_site_occupancy
Ca1 0.0000 0.0000 0.0000 1
Mn1 0.3333 0.6667 0.2522 1
In1 0.0000 0.0000 0.5000 1
I1 0.0079 0.6753 0.8153 1
I2 0.3333 0.6667 0.4994 1
```

Values from the calculation:
energy relative to the elements, uncorrected	-619	meV/atom
magnetization	9.00	μB per formula unit
total energy	-3.576	eV per atom